Record 1
Material: RbNaNpBr5
Method: DFT, PBE
State: optimized geometry

The structure in extended XYZ format:
```
16
Lattice="4.786 -6.808 0.000 4.786 6.808 0.000 -4.145 0.000 10.118" Properties=species:S:1:pos:R:3 pbc="T T T"
Rb 1.678 4.669 7.588
Rb 3.750 -4.669 2.529
Na 3.750 4.277 2.529
Na 1.678 -4.277 7.588
Np 4.786 0.000 0.000
Np 2.714 0.000 5.059
Br -2.091 0.706 9.532
Br 2.057 2.653 4.109
Br -0.019 -0.706 4.473
Br 5.443 2.653 0.950
Br 1.678 1.060 7.588
Br 3.750 -1.060 2.529
Br -0.015 -2.653 9.168
Br 5.447 0.706 5.644
Br 3.371 -2.653 6.009
Br 7.519 -0.706 0.585
```

Theoretical density (g/cm³): 3.75
E_form (uncorrected) (eV/atom): -1.482
Fermi-level density of states (states/eV per cell): 10.7


Record 2
Material: Ac2SNCl
Method: DFT, PBE
State: optimized geometry

The structure in extended XYZ format:
```
10
Lattice="8.137 -2.114 0.000 8.137 2.114 0.000 -3.784 0.000 8.096" Properties=species:S:1:pos:R:3 pbc="T T T"
Ac 1.016 0.000 1.588
Ac 5.520 0.000 1.495
Ac 6.971 0.000 6.602
Ac 11.474 0.000 6.509
S 1.212 0.000 6.616
S 11.278 0.000 1.481
N -2.430 0.000 7.248
N 14.920 0.000 0.848
Cl 4.547 0.000 4.579
Cl 7.943 0.000 3.517
```

Theoretical density (g/cm³): 6.39
E_form (uncorrected) (eV/atom): -1.952


Record 3
Material: Ga6IrRh5
Method: DFT, PBE
State: optimized geometry

The structure in extended XYZ format:
```
12
Lattice="3.714 -6.468 0.000 3.714 6.468 0.000 -2.473 0.000 3.515" Properties=species:S:1:pos:R:3 pbc="T T T"
Ga -0.002 2.160 2.634
Ga 1.231 0.000 0.875
Ga -0.002 -2.160 2.634
Ga 4.956 2.160 0.881
Ga 3.723 0.000 2.641
Ga 4.956 -2.160 0.881
Ir 3.714 0.000 0.000
Rh -1.237 0.000 1.758
Rh 3.714 4.303 0.000
Rh 2.477 2.150 1.758
Rh 2.477 -2.150 1.758
Rh 3.714 -4.303 0.000
```

Theoretical density (g/cm³): 11.06
E_form (eV per atom): -0.6389
Fermi-level density of states (states/eV per cell): 3.9


Record 4
Material: Nd3DyIn4
Method: DFT, PBE
State: optimized geometry

The structure in extended XYZ format:
```
8
Lattice="3.840 0.000 0.000 0.000 3.840 0.000 0.000 0.000 15.444" Properties=species:S:1:pos:R:3 pbc="T T T"
Nd 0.000 0.000 0.000
Nd 0.000 0.000 3.943
Nd 0.000 0.000 11.501
Dy 0.000 0.000 7.722
In 1.920 1.920 1.971
In 1.920 1.920 5.929
In 1.920 1.920 9.515
In 1.920 1.920 13.473
```

Offset from the most stable computed form (meV/atom): 0
Theoretical density (g/cm³): 7.69
E_form (eV per atom): -0.4904
Fermi-level density of states (states/eV per cell): 4.4


Record 5
Material: NaPuBi
Method: DFT, PBE
State: optimized geometry

The structure in extended XYZ format:
```
6
Lattice="1.781 1.028 14.928 -1.781 1.028 14.928 0.000 -2.056 14.928" Properties=species:S:1:pos:R:3 pbc="T T T"
Na 0.000 0.000 5.905
Na 0.000 0.000 38.880
Pu 0.000 0.000 14.335
Pu 0.000 0.000 30.450
Bi 0.000 0.000 18.131
Bi 0.000 0.000 26.653
```

Theoretical density (g/cm³): 9.64
E_form (eV per atom): -0.0457
Fermi-level density of states (states/eV per cell): 8.2


Record 6
Material: Al2PbO4
Method: DFT, PBE
State: optimized geometry

The structure in extended XYZ format:
```
14
Lattice="2.683 -4.203 0.000 2.683 4.203 0.000 0.000 0.000 9.064" Properties=species:S:1:pos:R:3 pbc="T T T"
Al 2.191 3.034 0.000
Al 3.174 3.034 4.532
Al 2.191 -3.034 4.532
Al 3.174 -3.034 0.000
Pb 2.683 0.000 2.266
Pb 2.683 0.000 6.798
O 1.341 2.102 1.286
O 1.341 2.102 7.777
O 1.164 0.531 4.532
O 1.164 -0.531 0.000
O 1.341 -2.102 3.246
O 1.341 -2.102 5.818
O 4.201 0.531 0.000
O 4.201 -0.531 4.532
```

Theoretical density (g/cm³): 5.28
E_form (uncorrected) (eV/atom): -2.272
Fermi-level density of states (states/eV per cell): 0.0


Record 7
Material: V2CoHPt
Method: DFT, PBE
State: optimized geometry

The structure in extended XYZ format:
```
5
Lattice="3.771 0.000 0.000 0.000 3.771 0.000 0.000 0.000 3.773" Properties=species:S:1:pos:R:3 pbc="T T T"
V 0.000 1.885 0.000
V 1.885 0.000 0.000
Co 0.000 0.000 1.886
H 0.000 0.000 0.000
Pt 1.885 1.885 1.886
```

Offset from the most stable computed form (meV/atom): 0
Theoretical density (g/cm³): 11.05
Fermi-level density of states (states/eV per cell): 2.9


Record 8
Material: LaNpRe4
Method: DFT, PBE
State: optimized geometry

The structure in extended XYZ format:
```
6
Lattice="0.000 3.868 3.868 3.868 0.000 3.868 3.868 3.868 0.000" Properties=species:S:1:pos:R:3 pbc="T T T"
La 0.000 0.000 0.000
Np 1.934 1.934 1.934
Re 4.834 2.902 2.902
Re 2.902 4.834 2.902
Re 2.902 2.902 4.834
Re 4.834 4.834 4.834
```

Theoretical density (g/cm³): 16.08
E_form (eV per atom): 0.2066
Fermi-level density of states (states/eV per cell): 15.6